The following is a GGA-PBE calculation of a relaxed structure of TbHoSb2, from the Alexandria database.

Geometry as CIF:
```
data_TbHoSb2
_chemical_formula_sum 'Tb3 Ho3 Sb6'
_space_group_name_H-M_alt 'P 1'
_space_group_IT_number 1
_space_group_name_Hall 'P 1'
_cell_length_a 4.385
_cell_length_b 4.385
_cell_length_c 21.467
_cell_angle_alpha 90.00
_cell_angle_beta 90.00
_cell_angle_gamma 120.00
loop_
_atom_site_label
_atom_site_type_symbol
_atom_site_fract_x
_atom_site_fract_y
_atom_site_fract_z
Tb1 Tb 0.000 0.000 0.000
Tb2 Tb 0.333 0.667 0.667
Tb3 Tb 0.667 0.333 0.333
Ho1 Ho 0.000 0.000 0.500
Ho2 Ho 0.333 0.667 0.167
Ho3 Ho 0.667 0.333 0.833
Sb1 Sb 0.000 0.000 0.249
Sb2 Sb 0.000 0.000 0.751
Sb3 Sb 0.333 0.667 0.417
Sb4 Sb 0.333 0.667 0.916
Sb5 Sb 0.667 0.333 0.084
Sb6 Sb 0.667 0.333 0.583
```

## Properties
Its magnetization is 0.000 μB/f.u. The uncorrected formation energy comes out at -4.523 eV/f.u. Its density of states at the Fermi level is 0.7 states/eV/f.u. The value obtained for the energy above the most stable polymorph in this dataset is 0.0 meV/atom.